Record 1
The following is a PBE-GGA calculation of crystalline SmGeBi at its relaxed geometry, from the Alexandria database.

```
data_SmGeBi
_chemical_formula_sum 'Sm2 Ge2 Bi2'
_symmetry_space_group_name_H-M 'P 1'
_symmetry_Int_Tables_number 1
_cell_length_a 8.745
_cell_length_b 8.745
_cell_length_c 4.202
_cell_angle_alpha 90.00
_cell_angle_beta 90.00
_cell_angle_gamma 149.94
loop_
_symmetry_equiv_pos_as_xyz
'x,y,z'
loop_
_atom_site_label
_atom_site_fract_x
_atom_site_fract_y
_atom_site_fract_z
Sm1 0.095 0.905 0.750
Sm2 0.905 0.095 0.250
Ge1 0.451 0.549 0.750
Ge2 0.549 0.451 0.250
Bi1 0.252 0.748 0.250
Bi2 0.748 0.252 0.750
```

Values from the calculation:
Polymorph energy (0 for the lowest one) (meV per atom): 0

Record 2
The following is a PBE-GGA calculation of crystalline SmGeBi at its relaxed geometry, from the Alexandria database.

```
data_SmGeBi
_chemical_formula_sum 'Sm1 Ge1 Bi1'
_symmetry_space_group_name_H-M 'P 1'
_symmetry_Int_Tables_number 1
_cell_length_a 4.954
_cell_length_b 4.954
_cell_length_c 3.953
_cell_angle_alpha 90.00
_cell_angle_beta 90.00
_cell_angle_gamma 120.00
loop_
_symmetry_equiv_pos_as_xyz
'x,y,z'
loop_
_atom_site_label
_atom_site_fract_x
_atom_site_fract_y
_atom_site_fract_z
Sm1 0.000 0.000 0.000
Ge1 0.667 0.333 0.483
Bi1 0.333 0.667 0.505
```

Values from the calculation:
Polymorph energy (0 for the lowest one) (meV per atom): 306

These records have V values of 26.83; 28.01 Å³/atom, in the order they appear.
These records have E_form values of -61; -32 kJ per mole of atoms, in the order they appear.
These records have electronic total energy values of -5.038; -4.732 eV per atom, in the order they appear.